No. 1
The following is a PBE calculation of a geometry-optimized BeZn3Ni4 structure, from the Alexandria database.

Space group: P4/mmm, No. 123

```
BeZn3Ni4
1.0
2.6545 0.0000 0.0000
0.0000 2.6545 0.0000
0.0000 0.0000 12.8192
Be Zn Ni
1 3 4
Cartesian
1.3272 1.3272 0.0000
1.3272 1.3272 3.0098
1.3272 1.3272 6.4096
1.3272 1.3272 9.8094
0.0000 0.0000 11.5318
0.0000 0.0000 1.2874
0.0000 0.0000 4.7055
0.0000 0.0000 8.1137
```

---

No. 2
The following is a PBE calculation of a geometry-optimized Tb3Y2Hg2 structure, from the Alexandria database.

Space group: Cmmm, No. 65
Energy above the lowest structure with this stoichiometry: 0.0686 eV per atom

```
Tb3Y2Hg2
1.0
-2.7724 -1.3000 1.8787
2.2624 -1.4124 2.3612
-1.9095 12.9303 9.5640
Tb Y Hg
3 2 2
Cartesian
-0.6412 0.6899 6.4007
0.0000 0.0000 0.0000
-1.7784 9.5280 7.4033
-1.9518 6.0534 8.1779
-0.4678 4.1645 5.6261
-2.0996 9.8880 10.6131
-0.3200 0.3300 3.1908
```

---

| no. | energy relative to the elements (meV/atom) | M_tot (μB/f.u.) | total energy (eV per atom) |
| --- | --- | --- | --- |
| 1 | -296 | 0.0 | -4.13 |
| 2 | -185 | 0.2 | -4.10 |